Compound: AcCoAg
Source: the Open Quantum Materials Database
Functional: PBE
Structure: optimized geometry

Cell: 4.725 4.725 4.725 Å, 60.00 60.00 60.00°
Fractional coordinates of all 3 atoms:
Ac 0.250 0.250 0.250
Ag 0.000 0.000 0.000
Co 0.750 0.750 0.750

Properties
Its space group is F-43m, No. 216. The value obtained for the total energy is -12.4 eV per cell. As for the formation energy: 51.2 kJ per mole of atoms.

=====

Compound: Pr3TlHg5
Source: the Open Quantum Materials Database
Functional: PBE
Structure: optimized geometry

Cell: 9.230 9.230 6.594 Å, 90.00 90.00 120.00°
Fractional coordinates of all 18 atoms:
Hg 0.667 0.333 0.000
Hg 0.333 0.667 0.000
Hg 0.334 0.000 0.250
Hg 0.000 0.334 0.250
Hg 0.666 0.666 0.250
Hg 0.667 0.333 0.500
Hg 0.333 0.667 0.500
Hg 0.666 0.000 0.750
Hg 0.334 0.334 0.750
Hg 0.000 0.666 0.750
Pr 0.664 0.000 0.250
Pr 0.336 0.336 0.250
Pr 0.000 0.664 0.250
Pr 0.336 0.000 0.750
Pr 0.000 0.336 0.750
Pr 0.664 0.664 0.750
Tl 0.000 0.000 0.000
Tl 0.000 0.000 0.500

Properties
Its space group is P6_3/mcm, No. 193. The value obtained for the total energy is -44.3 eV per cell.

=====

Compound: Ba2CoP6W
Source: the Open Quantum Materials Database
Functional: PBE
Structure: optimized geometry

Cell: 10.652 10.652 10.652 Å, 38.50 38.50 38.50°
Fractional coordinates of all 20 atoms:
Ba 0.142 0.142 0.142
Ba 0.296 0.296 0.296
Ba 0.704 0.704 0.704
Ba 0.858 0.858 0.858
Co 0.397 0.397 0.397
Co 0.603 0.603 0.603
P 0.593 0.593 0.145
P 0.744 0.211 0.211
P 0.211 0.744 0.211
P 0.789 0.789 0.256
P 0.855 0.407 0.407
P 0.407 0.855 0.407
P 0.593 0.145 0.593
P 0.145 0.593 0.593
P 0.211 0.211 0.744
P 0.789 0.256 0.789
P 0.256 0.789 0.789
P 0.407 0.407 0.855
W 0.000 0.000 0.000
W 0.500 0.500 0.500

Properties
Its space group is R-3m, No. 166. The value obtained for the total energy is -120.7 eV per cell.

=====

Compound: Ga2TcHg
Source: the Open Quantum Materials Database
Functional: PBE
Structure: optimized geometry

Cell: 4.619 4.619 4.619 Å, 60.00 60.00 60.00°
Fractional coordinates of all 4 atoms:
Ga 0.500 0.500 0.500
Ga 0.750 0.750 0.750
Hg 0.250 0.250 0.250
Tc 0.000 0.000 0.000

Properties
Its space group is F-43m, No. 216. The value obtained for the total energy is -14.6 eV per cell.

=====

Compound: GdYGe2Pt
Source: the Open Quantum Materials Database
Functional: PBE
Structure: optimized geometry

Cell: 5.712 5.712 10.460 Å, 115.22 115.22 44.90°
Fractional coordinates of all 10 atoms:
Gd 0.189 0.189 0.113
Gd 0.811 0.811 0.887
Ge 0.475 0.475 0.113
Ge 0.355 0.355 0.447
Ge 0.645 0.645 0.553
Ge 0.525 0.525 0.887
Pt 0.727 0.727 0.336
Pt 0.273 0.273 0.664
Y 0.010 0.010 0.329
Y 0.990 0.990 0.671

Properties
Its space group is C2/m, No. 12. The value obtained for the total energy is -63.0 eV per cell.

=====

Compound: ZrBrN
Source: the Open Quantum Materials Database
Functional: PBE
Structure: optimized geometry

Cell: 3.487 3.487 11.634 Å, 90.00 90.00 120.00°
Fractional coordinates of all 6 atoms:
Br 0.667 0.333 0.360
Br 0.333 0.667 0.640
N 0.333 0.667 0.134
N 0.667 0.333 0.866
Zr 0.000 0.000 0.186
Zr 0.000 0.000 0.814

Properties
Its space group is P-3m1, No. 164. The value obtained for the total energy is -45.1 eV per cell.

=====

Compound: TaAg2B
Source: the Open Quantum Materials Database
Functional: PBE
Structure: optimized geometry

Cell: 4.397 4.397 4.397 Å, 60.00 60.00 60.00°
Fractional coordinates of all 4 atoms:
Ag 0.000 0.000 0.000
Ag 0.750 0.750 0.750
B 0.500 0.500 0.500
Ta 0.250 0.250 0.250

Properties
Its space group is F-43m, No. 216. The value obtained for the total energy is -20.9 eV per cell.

=====

Compound: BiPt2Au
Source: the Open Quantum Materials Database
Functional: PBE
Structure: optimized geometry

Cell: 4.762 4.762 4.762 Å, 60.00 60.00 60.00°
Fractional coordinates of all 4 atoms:
Au 0.250 0.250 0.250
Bi 0.500 0.500 0.500
Pt 0.000 0.000 0.000
Pt 0.750 0.750 0.750

Properties
Its space group is F-43m, No. 216. The value obtained for the total energy is -19.3 eV per cell.

=====

Compound: TbDyNi2B2C2
Source: the Open Quantum Materials Database
Functional: PBE
Structure: optimized geometry

Cell: 3.599 3.599 7.540 Å, 90.00 90.00 90.00°
Fractional coordinates of all 8 atoms:
B 0.000 0.000 0.355
B 0.500 0.500 0.646
C 0.000 0.000 0.157
C 0.500 0.500 0.844
Dy 0.500 0.500 0.167
Ni 0.500 0.000 0.500
Ni 0.000 0.500 0.500
Tb 0.000 0.000 0.833

Properties
Its space group is P4mm, No. 99. The value obtained for the total energy is -56.3 eV per cell.

=====

Compound: BaSb2PbAu2
Source: the Open Quantum Materials Database
Functional: PBE
Structure: optimized geometry

Cell: 4.767 4.767 8.969 Å, 90.00 90.00 120.00°
Fractional coordinates of all 6 atoms:
Au 0.333 0.667 0.027
Au 0.667 0.333 0.476
Ba 0.000 0.000 0.750
Pb 0.000 0.000 0.249
Sb 0.667 0.333 0.008
Sb 0.333 0.667 0.489

Properties
Its space group is P3m1, No. 156. The value obtained for the total energy is -23.4 eV per cell.

=====

Compound: DyHgAsO
Source: the Open Quantum Materials Database
Functional: PBE
Structure: optimized geometry

Cell: 4.437 6.503 6.126 Å, 90.00 90.00 90.00°
Fractional coordinates of all 8 atoms:
As 0.000 0.289 0.399
As 0.000 0.711 0.899
Dy 0.000 0.736 0.416
Dy 0.000 0.264 0.916
Hg 0.500 0.863 0.013
Hg 0.500 0.137 0.513
O 0.500 0.774 0.426
O 0.500 0.226 0.926

Properties
For the polymorph energy (0 for the lowest one), the calculation gives 284.6 meV/atom. Its space group is Pmc2_1, No. 26. The value obtained for the total energy is -39.1 eV per cell.

=====

Compound: Pd
Source: the Open Quantum Materials Database
Functional: PBE
Structure: optimized geometry

Cell: 5.506 2.746 42.065 Å, 90.00 90.01 90.00°
Fractional coordinates of all 30 atoms:
Pd 0.625 0.500 0.144
Pd 0.367 0.000 0.188
Pd 0.883 0.000 0.188
Pd 0.125 0.500 0.235
Pd 0.625 0.500 0.236
Pd 0.375 0.000 0.284
Pd 0.875 0.000 0.284
Pd 0.125 0.500 0.332
Pd 0.625 0.500 0.332
Pd 0.375 0.000 0.380
Pd 0.875 0.000 0.380
Pd 0.125 0.500 0.428
Pd 0.625 0.500 0.428
Pd 0.375 0.000 0.476
Pd 0.875 0.000 0.476
Pd 0.125 0.500 0.524
Pd 0.625 0.500 0.524
Pd 0.375 0.000 0.572
Pd 0.875 0.000 0.572
Pd 0.125 0.500 0.620
Pd 0.625 0.500 0.620
Pd 0.375 0.000 0.668
Pd 0.875 0.000 0.668
Pd 0.125 0.500 0.716
Pd 0.625 0.500 0.716
Pd 0.375 0.000 0.764
Pd 0.875 0.000 0.765
Pd 0.117 0.500 0.812
Pd 0.633 0.500 0.812
Pd 0.375 0.000 0.856

Properties
For the polymorph energy (0 for the lowest one), the calculation gives 116.1 meV/atom. Its space group is P2_1/m, No. 11. The value obtained for the total energy is -151.8 eV per cell. As for the formation energy: 11.2 kJ per mole of atoms.

=====

Compound: NdHo2Mg3ZnIn2
Source: the Open Quantum Materials Database
Functional: PBE
Structure: optimized geometry

Cell: 4.612 7.544 7.544 Å, 121.09 90.00 90.00°
Fractional coordinates of all 9 atoms:
Ho 0.000 0.589 0.003
Ho 0.000 0.003 0.589
In 0.500 0.673 0.333
In 0.500 0.333 0.673
Mg 0.500 0.999 0.235
Mg 0.500 0.763 0.763
Mg 0.500 0.235 0.999
Nd 0.000 0.415 0.415
Zn 0.000 0.991 0.991

Properties
Its space group is Amm2, No. 38. The value obtained for the total energy is -28.6 eV per cell.

=====

Compound: Tc2Ir
Source: the Open Quantum Materials Database
Functional: PBE
Structure: optimized geometry

Cell: 5.044 5.044 5.044 Å, 60.00 60.00 60.00°
Fractional coordinates of all 6 atoms:
Ir 0.000 0.000 0.000
Ir 0.250 0.250 0.250
Tc 0.625 0.625 0.125
Tc 0.625 0.125 0.625
Tc 0.125 0.625 0.625
Tc 0.625 0.625 0.625

Properties
For the polymorph energy (0 for the lowest one), the calculation gives 0.0 meV/atom. Its space group is Fd-3m, No. 227. The value obtained for the total energy is -57.0 eV per cell. As for the formation energy: 34.8 kJ per mole of atoms.

=====

Compound: Cs2Re2Se5
Source: the Open Quantum Materials Database
Functional: PBE
Structure: optimized geometry

Cell: 13.024 13.024 13.024 Å, 111.47 111.47 68.53°
Fractional coordinates of all 54 atoms:
Cs 0.367 0.203 0.029
Cs 0.471 0.703 0.133
Cs 0.029 0.633 0.203
Cs 0.867 0.471 0.297
Cs 0.797 0.029 0.367
Cs 0.297 0.133 0.471
Cs 0.703 0.867 0.529
Cs 0.203 0.971 0.633
Cs 0.133 0.529 0.703
Cs 0.971 0.367 0.797
Cs 0.529 0.297 0.867
Cs 0.633 0.797 0.971
Re 0.866 0.073 0.048
Re 0.048 0.134 0.073
Re 0.073 0.952 0.134
Re 0.548 0.427 0.366
Re 0.366 0.452 0.427
Re 0.427 0.634 0.452
Re 0.573 0.366 0.548
Re 0.634 0.548 0.573
Re 0.452 0.573 0.634
Re 0.927 0.048 0.866
Re 0.952 0.866 0.927
Re 0.134 0.927 0.952
Se 0.154 0.754 0.012
Se 0.895 0.895 0.105
Se 0.680 0.146 0.118
Se 0.118 0.320 0.146
Se 0.246 0.012 0.154
Se 0.618 0.354 0.180
Se 0.988 0.154 0.246
Se 0.750 0.750 0.250
Se 0.346 0.512 0.254
Se 0.146 0.882 0.320
Se 0.488 0.254 0.346
Se 0.180 0.382 0.354
Se 0.354 0.820 0.382
Se 0.605 0.605 0.395
Se 0.746 0.346 0.488
Se 0.254 0.654 0.512
Se 0.395 0.395 0.605
Se 0.646 0.180 0.618
Se 0.820 0.618 0.646
Se 0.512 0.746 0.654
Se 0.854 0.118 0.680
Se 0.654 0.488 0.746
Se 0.250 0.250 0.750
Se 0.012 0.846 0.754
Se 0.382 0.646 0.820
Se 0.754 0.988 0.846
Se 0.882 0.680 0.854
Se 0.320 0.854 0.882
Se 0.105 0.105 0.895
Se 0.846 0.246 0.988

Properties
Its space group is R-3c, No. 167. The value obtained for the total energy is -302.9 eV per cell.

=====

Compound: Tm2CSe
Source: the Open Quantum Materials Database
Functional: PBE
Structure: optimized geometry

Cell: 6.821 6.821 6.821 Å, 31.48 31.48 31.48°
Fractional coordinates of all 4 atoms:
C 0.000 0.000 0.000
Se 0.500 0.500 0.500
Tm 0.266 0.266 0.266
Tm 0.734 0.734 0.734

Properties
Its space group is R-3m, No. 166. The value obtained for the total energy is -26.4 eV per cell.

=====

Compound: HfNbSnC
Source: the Open Quantum Materials Database
Functional: PBE
Structure: optimized geometry

Cell: 3.273 3.273 14.393 Å, 90.00 90.00 120.00°
Fractional coordinates of all 8 atoms:
C 0.000 0.000 0.254
C 0.000 0.000 0.746
Hf 0.333 0.667 0.169
Hf 0.333 0.667 0.831
Nb 0.667 0.333 0.339
Nb 0.667 0.333 0.661
Sn 0.667 0.333 0.000
Sn 0.333 0.667 0.500

Properties
For the polymorph energy (0 for the lowest one), the calculation gives 15.7 meV/atom. Its space group is P-6m2, No. 187. The value obtained for the total energy is -71.2 eV per cell.

=====

Compound: SmTaAu
Source: the Open Quantum Materials Database
Functional: PBE
Structure: optimized geometry

Cell: 4.810 4.810 4.810 Å, 60.00 60.00 60.00°
Fractional coordinates of all 3 atoms:
Au 0.250 0.250 0.250
Sm 0.000 0.000 0.000
Ta 0.750 0.750 0.750

Properties
Its space group is F-43m, No. 216. The value obtained for the total energy is -16.5 eV per cell. As for the formation energy: 105.5 kJ per mole of atoms.

=====

Compound: KLiNiW
Source: the Open Quantum Materials Database
Functional: PBE
Structure: optimized geometry

Cell: 4.521 4.521 4.521 Å, 60.00 60.00 60.00°
Fractional coordinates of all 4 atoms:
K 0.000 0.000 0.000
Li 0.750 0.750 0.750
Ni 0.500 0.500 0.500
W 0.250 0.250 0.250

Properties
For the polymorph energy (0 for the lowest one), the calculation gives 0.0 meV/atom. Its space group is F-43m, No. 216. The value obtained for the total energy is -16.0 eV per cell.

=====

Compound: ZrInCuSeS2
Source: the Open Quantum Materials Database
Functional: PBE
Structure: optimized geometry

Cell: 7.401 7.401 10.032 Å, 90.00 90.00 150.77°
Fractional coordinates of all 12 atoms:
Cu 0.462 0.538 0.250
Cu 0.538 0.462 0.750
In 0.758 0.242 0.250
In 0.242 0.758 0.750
S 0.378 0.622 0.055
S 0.378 0.622 0.445
S 0.622 0.378 0.555
S 0.622 0.378 0.945
Se 0.075 0.925 0.250
Se 0.925 0.075 0.750
Zr 0.000 0.000 0.000
Zr 0.000 0.000 0.500

Properties
Its space group is Cmcm, No. 63. The value obtained for the total energy is -64.1 eV per cell.